Compound: Sr3TiMn
Source: Alexandria
Functional: GGA-PBEsol
Structure: optimized geometry

Cell and atoms, written as POSCAR:
```
Sr3TiMn
1.0
5.7979 0.0000 0.0000
0.0000 5.7979 0.0000
0.0000 0.0000 5.7979
Sr Ti Mn
3 1 1
Direct
0.0000 0.0000 0.5000 Sr
0.0000 0.5000 0.0000 Sr
0.5000 0.0000 0.0000 Sr
0.0000 0.0000 0.0000 Ti
0.5000 0.5000 0.5000 Mn
```

Computed properties:
Calculated formation energy   1.251 eV per atom
Symmetry   No. 221
Size of the total moment   6.294 μB/f.u.
Density   3.12 g cm⁻³